Computed, not measured: an optimized crystal structure of La2DyU2Ru5 at the GGA-PBE level of DFT. Values from VASP.

Geometry as Quantum ESPRESSO input:
```
&SYSTEM
  ibrav = 0, nat = 20, ntyp = 4
/
ATOMIC_SPECIES
La 138.91 La.upf
Dy 162.50 Dy.upf
U 238.03 U.upf
Ru 101.07 Ru.upf
CELL_PARAMETERS angstrom
10.976 0.000 0.000
0.000 10.976 0.000
0.000 0.000 3.523
ATOMIC_POSITIONS angstrom
La 1.934 3.554 0.000
La 3.554 9.042 0.000
La 7.421 1.934 0.000
La 9.042 7.421 0.000
Dy 0.000 0.000 0.000
Dy 5.488 5.488 0.000
U 1.512 6.999 0.000
U 3.976 1.512 0.000
U 6.999 9.464 0.000
U 9.464 3.976 0.000
Ru 0.000 5.488 1.761
Ru 0.532 8.589 1.761
Ru 2.386 0.532 1.761
Ru 3.101 6.020 1.761
Ru 4.955 3.101 1.761
Ru 5.488 0.000 1.761
Ru 6.020 7.874 1.761
Ru 7.874 4.955 1.761
Ru 8.589 10.443 1.761
Ru 10.443 2.386 1.761
```

Summary:
- Crystal system: tetragonal
- E_form: -222 kJ/mol of formula units



Computed, not measured: an optimized crystal structure of LaDyZnRu at the GGA-PBE level of DFT. Values from VASP.

Geometry as Quantum ESPRESSO input:
```
&SYSTEM
  ibrav = 0, nat = 4, ntyp = 4
/
ATOMIC_SPECIES
La 138.91 La.upf
Dy 162.50 Dy.upf
Zn 65.41 Zn.upf
Ru 101.07 Ru.upf
CELL_PARAMETERS angstrom
0.000 3.566 3.566
3.566 0.000 3.566
3.566 3.566 0.000
ATOMIC_POSITIONS angstrom
La 0.000 0.000 0.000
Dy 3.566 3.566 3.566
Zn 1.783 1.783 1.783
Ru 5.349 5.349 5.349
```

Summary:
- Crystal system: cubic
- E_form: -105 kJ/mol of formula units



Computed, not measured: an optimized crystal structure of LaDyS at the GGA-PBE level of DFT. Values from VASP.

Geometry as Quantum ESPRESSO input:
```
&SYSTEM
  ibrav = 0, nat = 6, ntyp = 3
/
ATOMIC_SPECIES
La 138.91 La.upf
Dy 162.50 Dy.upf
S 32.06 S.upf
CELL_PARAMETERS angstrom
3.878 0.000 0.000
0.000 5.482 0.000
0.000 0.000 7.994
ATOMIC_POSITIONS angstrom
La 0.969 1.370 0.890
La 2.908 4.111 7.104
Dy 0.969 1.370 4.970
Dy 2.908 4.111 3.024
S 0.969 4.111 4.914
S 2.908 1.370 3.079
```

Summary:
- Crystal system: orthorhombic
- Raw formation energy: -1.281 eV per atom
- Offset from the most stable computed form: 0.0 meV/atom



Computed, not measured: an optimized crystal structure of LaDy6S8 at the GGA-PBE level of DFT. Values from VASP.

Geometry as Quantum ESPRESSO input:
```
&SYSTEM
  ibrav = 0, nat = 15, ntyp = 3
/
ATOMIC_SPECIES
La 138.91 La.upf
Dy 162.50 Dy.upf
S 32.06 S.upf
CELL_PARAMETERS angstrom
0.000 5.541 5.541
5.541 0.000 5.541
5.541 5.541 0.000
ATOMIC_POSITIONS angstrom
La 0.000 0.000 0.000
Dy 2.770 2.770 0.000
Dy 2.770 0.000 2.770
Dy 5.541 2.770 2.770
Dy 0.000 2.770 2.770
Dy 2.770 5.541 2.770
Dy 2.770 2.770 5.541
S 2.770 2.770 2.770
S 5.541 5.541 2.879
S 5.541 2.879 5.541
S 8.203 5.541 5.541
S 2.879 5.541 5.541
S 5.541 8.203 5.541
S 5.541 5.541 8.203
S 8.311 8.311 8.311
```

Summary:
- Crystal system: cubic
- Raw formation energy: -2.032 eV per atom



no.,magnetization (μB/f.u.)
1,0.0
2,0.0
3,0.0
4,0.0